No. 1
Ba4SrCo SCAN single point on PBEsol structure; uncorrected energy = -32.176 eV per atom; symmetry = No. 216
1.0
0.000 5.199 5.199
5.199 0.000 5.199
5.199 5.199 0.000
Ba Sr Co
4 1 1
direct
0.123 0.123 0.123
0.123 0.123 0.630
0.123 0.630 0.123
0.630 0.123 0.123
0.500 0.500 0.500
0.750 0.750 0.750

---

No. 2
Y4SiS3 SCAN single point on PBEsol structure; uncorrected energy = -20.781 eV per atom; symmetry = No. 139
1.0
-2.770 2.770 5.552
2.770 -2.770 5.552
2.770 2.770 -5.552
Y Si S
4 1 3
direct
0.000 0.500 0.500
0.249 0.249 0.000
0.500 0.000 0.500
0.751 0.751 0.000
0.000 0.000 0.000
0.250 0.750 0.500
0.500 0.500 0.000
0.750 0.250 0.500

---

No. 3
ZnAuC2S SCAN single point on PBEsol structure; uncorrected energy = -20.270 eV per atom; symmetry = No. 123
1.0
3.787 0.000 0.000
0.000 3.787 0.000
0.000 0.000 5.108
Zn Au C S
1 1 2 1
direct
0.000 0.000 0.000
0.500 0.500 0.500
0.000 0.500 0.000
0.500 0.000 0.000
0.000 0.000 0.500

---

No. 4
CaHg2Cl SCAN single point on PBEsol structure; ΔE to the lowest computed polymorph = 0.18 eV per formula unit; symmetry = No. 47
1.0
4.093 0.000 0.000
0.000 4.139 0.000
0.000 0.000 5.789
Ca Hg Cl
1 2 1
direct
0.000 0.000 0.000
0.000 0.500 0.500
0.500 0.000 0.500
0.500 0.500 0.000

---

No. 5
Ca2BeBr SCAN single point on PBEsol structure; uncorrected energy = -11.278 eV per atom; symmetry = No. 123
1.0
3.519 0.000 0.000
0.000 3.519 0.000
0.000 0.000 7.827
Ca Be Br
2 1 1
direct
0.000 0.000 0.219
0.000 0.000 0.781
0.500 0.500 0.000
0.500 0.500 0.500

---

No. 6
PdRhPb2 SCAN single point on PBEsol structure; uncorrected energy = -54.472 eV per atom; symmetry = No. 225
1.0
0.000 3.355 3.355
3.355 0.000 3.355
3.355 3.355 0.000
Pd Rh Pb
1 1 2
direct
0.000 0.000 0.000
0.500 0.500 0.500
0.250 0.250 0.250
0.750 0.750 0.750

---

No. 7
Ta2BeCr SCAN single point on PBEsol structure; uncorrected energy = -38.635 eV per atom; symmetry = No. 166
1.0
1.495 0.863 7.460
-1.495 0.863 7.460
0.000 -1.726 7.460
Ta Be Cr
2 1 1
direct
0.248 0.248 0.248
0.752 0.752 0.752
0.500 0.500 0.500
0.000 0.000 0.000

---

No. 8
Y2ZnRu SCAN single point on PBEsol structure; uncorrected energy = -26.486 eV per atom; symmetry = No. 123
1.0
3.425 0.000 0.000
0.000 3.425 0.000
0.000 0.000 6.936
Y Zn Ru
2 1 1
direct
0.000 0.000 0.234
0.000 0.000 0.766
0.500 0.500 0.500
0.500 0.500 0.000

---

No. 9
KMg2Tl2 SCAN single point on PBEsol structure; ΔE to the lowest computed polymorph = 0.06 eV per formula unit; symmetry = No. 127
1.0
9.234 0.000 0.000
0.000 9.234 0.000
0.000 0.000 3.226
K Mg Tl
2 4 4
direct
0.000 0.000 0.000
0.500 0.500 0.000
0.135 0.365 0.500
0.365 0.865 0.500
0.635 0.135 0.500
0.865 0.635 0.500
0.155 0.655 0.000
0.345 0.155 0.000
0.655 0.845 0.000
0.845 0.345 0.000

---

No. 10
SnH4N2F2 SCAN single point on PBEsol structure; uncorrected energy = -9.426 eV per atom; symmetry = No. 12
1.0
5.288 -1.632 0.000
5.288 1.632 0.000
-1.302 0.000 4.857
Sn H N F
1 4 2 2
direct
0.000 0.000 0.000
0.293 0.293 0.780
0.391 0.391 0.567
0.609 0.609 0.433
0.707 0.707 0.220
0.390 0.390 0.772
0.610 0.610 0.228
0.122 0.122 0.747
0.878 0.878 0.253

---

No. 11
TaSiRu2Cl SCAN single point on PBEsol structure; uncorrected energy = -29.495 eV per atom; symmetry = No. 123
1.0
4.714 0.000 0.000
0.000 4.714 0.000
0.000 0.000 4.534
Ta Si Ru Cl
1 1 2 1
direct
0.000 0.000 0.000
0.500 0.500 0.500
0.000 0.500 0.000
0.500 0.000 0.000
0.000 0.000 0.500

---

No. 12
LaFeSi2 SCAN single point on PBEsol structure; uncorrected energy = -20.851 eV per atom; symmetry = No. 166
1.0
1.956 1.129 5.317
-1.956 1.129 5.317
0.000 -2.258 5.317
La Fe Si
1 1 2
direct
0.000 0.000 0.000
0.500 0.500 0.500
0.203 0.203 0.203
0.797 0.797 0.797

---

| no. | D(E_F) (states/eV/atom) |
| --- | --- |
| 1 | 1.500 |
| 2 | 0.298 |
| 3 | 0.578 |
| 4 | 0.334 |
| 5 | 0.535 |
| 6 | 0.610 |
| 7 | 0.655 |
| 8 | 0.600 |
| 9 | 0.350 |
| 10 | 0.000 |
| 11 | 0.703 |
| 12 | 0.781 |